one:
## AlWSe2N (PBE)

Data for an optimized crystal structure of AlWSe2N.

Unit cell a=5.0917 b=5.0917 c=3.8166 alpha=90.00 beta=90.00 gamma=90.00
With the nearest neighbours (Å) after each atom.
Space group P4/mmm (No. 123)
Unique sites:
Al1 0.0000 0.0000 0.0000 [1 per cell]  8 Se 3.18
W1 0.5000 0.5000 0.5000 [1 per cell]  2 N 1.91
Se1 0.0000 0.5000 0.5000 [2 per cell]  2 W 2.55
N1 0.5000 0.5000 0.0000 [1 per cell]  2 W 1.91

As for the crystal system: tetragonal. As for the size of the total moment: 0.0000 μB per atom. The value obtained for the density is 6.4 g cm⁻³.

two:
## AlWSe2N (PBE)

Data for an optimized crystal structure of AlWSe2N.

Unit cell a=4.9828 b=4.9828 c=3.5012 alpha=90.00 beta=90.00 gamma=90.00
With the nearest neighbours (Å) after each atom.
Space group P4/mmm (No. 123)
Unique sites:
Al1 0.0000 0.0000 0.0000 [1 per cell]  2 N 1.75
W1 0.5000 0.5000 0.5000 [1 per cell]  8 Se 3.04
Se1 0.0000 0.5000 0.0000 [2 per cell]  2 Al 2.49
N1 0.0000 0.0000 0.5000 [1 per cell]  2 Al 1.75

As for the crystal system: tetragonal. As for the size of the total moment: 0.2927 μB per atom. The value obtained for the density is 7.3 g cm⁻³.

Which of them is the most stable? Correct choice: one.

one:
## YAlSe2N (PBE)

Data for an optimized crystal structure of YAlSe2N.

Unit cell a=5.0764 b=5.0764 c=3.6659 alpha=90.00 beta=90.00 gamma=90.00
With the nearest neighbours (Å) after each atom.
Space group P4/mmm (No. 123)
Unique sites:
Y1 0.0000 0.0000 0.0000 [1 per cell]  8 Se 3.13
Al1 0.5000 0.5000 0.5000 [1 per cell]  2 N 1.83
Se1 0.0000 0.5000 0.5000 [2 per cell]  2 Al 2.54
N1 0.5000 0.5000 0.0000 [1 per cell]  2 Al 1.83

As for the crystal system: tetragonal. As for the size of the total moment: 0.0002 μB per atom. The value obtained for the density is 5.1 g cm⁻³.

two:
## YAlSe2N (PBE)

Data for an optimized crystal structure of YAlSe2N.

Unit cell a=5.5440 b=5.5440 c=4.2878 alpha=90.00 beta=90.00 gamma=90.00
With the nearest neighbours (Å) after each atom.
Space group P4/mmm (No. 123)
Unique sites:
Y1 0.0000 0.0000 0.0000 [1 per cell]  2 N 2.14
Al1 0.5000 0.5000 0.5000 [1 per cell]  8 Se 3.50, 4 N 3.92
Se1 0.0000 0.5000 0.0000 [2 per cell]  2 Y 2.77
N1 0.0000 0.0000 0.5000 [1 per cell]  2 Y 2.14

As for the crystal system: tetragonal. As for the size of the total moment: 0.0036 μB per atom. The value obtained for the density is 3.6 g cm⁻³.

Which of them is the most stable? Correct choice: one.

one:
## AlZnSeN2 (PBE)

Data for an optimized crystal structure of AlZnSeN2.

Unit cell a=3.6772 b=3.6772 c=5.8804 alpha=90.00 beta=90.00 gamma=90.00
With the nearest neighbours (Å) after each atom.
Space group P4/mmm (No. 123)
Unique sites:
Al1 0.0000 0.0000 0.0000 [1 per cell]  4 N 1.84
Zn1 0.5000 0.5000 0.5000 [1 per cell]  4 Se 2.60
Se1 0.0000 0.0000 0.5000 [1 per cell]  4 Zn 2.60
N1 0.0000 0.5000 0.0000 [2 per cell]  2 Al 1.84

As for the crystal system: tetragonal. As for the size of the total moment: 0.2486 μB per atom. The value obtained for the density is 4.2 g cm⁻³.

two:
## AlZnSeN2 (PBE)

Data for an optimized crystal structure of AlZnSeN2.

Unit cell a=3.8540 b=3.8540 c=5.6763 alpha=90.00 beta=90.00 gamma=90.00
With the nearest neighbours (Å) after each atom.
Space group P4/mmm (No. 123)
Unique sites:
Al1 0.0000 0.0000 0.0000 [1 per cell]  4 Se 2.73
Zn1 0.5000 0.5000 0.5000 [1 per cell]  4 N 1.93
Se1 0.5000 0.5000 0.0000 [1 per cell]  4 Al 2.73, 2 Zn 2.84
N1 0.0000 0.5000 0.5000 [2 per cell]  2 Zn 1.93

As for the crystal system: tetragonal. As for the size of the total moment: 0.5919 μB per atom. The value obtained for the density is 3.9 g cm⁻³.

Which of them is the most stable? Correct choice: one.

one:
## AlZnSe2N (PBE)

Data for an optimized crystal structure of AlZnSe2N.

Unit cell a=5.0691 b=5.0691 c=3.6746 alpha=90.00 beta=90.00 gamma=90.00
With the nearest neighbours (Å) after each atom.
Space group P4/mmm (No. 123)
Unique sites:
Al1 0.0000 0.0000 0.0000 [1 per cell]  8 Se 3.13
Zn1 0.5000 0.5000 0.5000 [1 per cell]  2 N 1.84
Se1 0.0000 0.5000 0.5000 [2 per cell]  2 Zn 2.53
N1 0.5000 0.5000 0.0000 [1 per cell]  2 Zn 1.84

As for the crystal system: tetragonal. As for the size of the total moment: 0.0001 μB per atom. The value obtained for the density is 4.6 g cm⁻³.

two:
## AlZnSe2N (PBE)

Data for an optimized crystal structure of AlZnSe2N.

Unit cell a=5.1833 b=5.1833 c=3.4938 alpha=90.00 beta=90.00 gamma=90.00
With the nearest neighbours (Å) after each atom.
Space group P4/mmm (No. 123)
Unique sites:
Al1 0.0000 0.0000 0.0000 [1 per cell]  2 N 1.75
Zn1 0.5000 0.5000 0.5000 [1 per cell]  8 Se 3.13, 2 Zn 3.49
Se1 0.0000 0.5000 0.0000 [2 per cell]  2 Al 2.59
N1 0.0000 0.0000 0.5000 [1 per cell]  2 Al 1.75

As for the crystal system: tetragonal. As for the size of the total moment: 0.0001 μB per atom. The value obtained for the density is 4.7 g cm⁻³.

Which of them is the most stable? Correct choice: two.